Entry from Alexandria: a relaxed CsSr2Pb2 crystal (PBE).

Output
The value obtained for the calculated total energy is -2.586 eV per atom. The space-group type is No. 139. For the energy above the lowest structure with this stoichiometry, the calculation gives 53.8 kJ/mol of formula units. The density of states at the Fermi level is 1.07 states/eV/atom. The formation energy from the elements comes out at -0.260 eV per atom.

Cell lengths 7.774, 7.774, 7.774 Å; angles 134.49, 134.49, 66.32 degrees
Fractional positions:
Pb  0.384  0.384  0.000
Pb  0.616  0.616  0.000
Sr  0.750  0.250  0.500
Sr  0.250  0.750  0.500
Cs  0.000  0.000  0.000